A plane-wave DFT calculation with PBE was carried out for a relaxed structure of RbY2Re.

The structure in POSCAR format:
```
RbY2Re
1.0
8.3010 0.0000 0.0000
0.0000 8.3010 0.0000
4.1505 4.1505 5.8951
Y Re Rb
4 2 2
Direct
0.8754 0.6250 0.2500
0.8746 0.1250 0.2500
0.3750 0.1254 0.7500
0.8750 0.1246 0.7500
0.7500 0.2500 0.5000
0.0000 0.0000 0.0000
0.5000 0.5000 0.0000
0.2500 0.7500 0.5000
```

The value obtained for the total magnetic moment is 0.00 μB/f.u. The value obtained for the energy relative to the lowest polymorph listed for this composition is 22.4 meV/atom. As for the formation energy: 911 meV/atom. For the total energy, the calculation gives -5.675 eV per atom.